First-principles (GGA-PBE) data for crystalline Ac2ZnSi3Pt12 at its relaxed geometry, as listed in Alexandria via LeMat-Bulk.

Unit cell a=8.2914 b=8.2914 c=18.5207 alpha=90.00 beta=90.00 gamma=120.00
Last column: nearest neighbours and their distance in Å.
Space group R-3m (No. 166, hexagonal axes)
Unique sites:
Ac (0.0000, 0.0000, 0.1171) (multiplicity 6)  6 Pt 2.97-3.05
Zn (0.0000, 0.0000, 0.5000) (multiplicity 3)  6 Pt 2.47
Si (0.0000, 0.5000, 0.0000) (multiplicity 9)  6 Pt 2.32-2.37
Pt (0.0069, 0.5034, 0.1250) (multiplicity 18)  1 Si 2.32, 1 Zn 2.47
Pt (0.0324, 0.5162, 0.3670) (multiplicity 18)  2 Si 2.37

**Formation energy (no corrections)**: -9.99 eV/f.u.